SrAlGa2: relaxed, GGA-PBE.

E_form	-0.229	eV per atom

a b c (Å): 3.588 3.588 7.043
angles (deg): 90.00 90.00 90.00
Sites, in units of the cell vectors:
Sr: 0.000 0.000 0.000
Al: 0.000 0.000 0.500
Ga: 0.500 0.500 0.312
Ga: 0.500 0.500 0.688